# ZrTl2VO6

A relaxed ZrTl2VO6 crystal (GGA+U, Alexandria via LeMat-Bulk).

a = 5.497 Å, b = 6.394 Å, c = 6.394 Å
α = 120.00°, β = 90.00°, γ = 90.00°
Fractional coordinates of all 10 atoms:
O (0.221, 0.866, 0.732)
O (0.221, 0.866, 0.134)
O (0.779, 0.134, 0.268)
O (0.221, 0.268, 0.134)
O (0.779, 0.134, 0.866)
O (0.779, 0.732, 0.866)
V (0.000, 0.000, 0.000)
Zr (0.500, 0.000, 0.000)
Tl (0.968, 0.333, 0.667)
Tl (0.032, 0.667, 0.333)

magnetization = 0.000 μB/cell
VASP energy = -6.662 eV/atom